1.
PBE La2Y6Ho, relaxed; formation energy = 0.061 eV/atom; energy above the most stable polymorph in this dataset = 0 kJ/mol of formula units
1.0
-1.576 -3.222 -0.472
2.187 1.336 -2.554
20.828 -11.889 11.615
Y Ho La
6 1 2
Cartesian
10.045 -5.385 3.222
1.892 -2.966 0.068
17.343 -9.551 7.292
18.293 -12.328 9.214
12.648 -6.871 4.673
5.349 -2.705 0.603
0.933 -0.183 -1.860
6.511 -5.603 2.644
13.674 -9.692 6.639

***

2.
PBE Sr3Er3CuS8, relaxed; raw formation energy = -26.9 eV per formula unit
1.0
7.944 0.000 0.000
-3.972 6.875 -0.024
0.000 -4.560 6.784
S Sr Er Cu
8 3 3 1
Cartesian
3.972 0.017 4.917
-1.985 3.454 4.843
1.987 -1.139 1.917
5.957 -1.139 1.917
0.000 2.298 1.843
0.000 0.009 4.850
1.985 3.454 4.843
3.972 2.306 1.910
-1.986 3.438 -0.012
0.000 0.000 0.000
1.986 3.438 -0.012
1.986 1.158 3.380
3.972 -2.280 3.392
-1.986 1.158 3.380
0.000 -2.280 3.392

***

3.
PBE YZnIn3, relaxed; formation energy = 0.130 eV/atom; energy above the most stable polymorph in this dataset = 0 kJ/mol of formula units
1.0
5.161 0.000 0.000
0.000 5.161 0.000
0.000 0.000 5.161
Zn In Y
1 3 1
Cartesian
0.000 0.000 0.000
0.000 0.000 2.580
0.000 2.580 0.000
2.580 0.000 0.000
2.580 2.580 2.580

***

4.
PBE GdTh3O, relaxed; raw formation energy = -5.3 eV per formula unit
1.0
5.081 0.000 0.000
0.000 5.081 0.000
0.000 0.000 5.081
Th Gd O
3 1 1
Cartesian
2.540 0.000 0.000
0.000 2.540 0.000
0.000 0.000 2.540
2.540 2.540 2.540
0.000 0.000 0.000

***

5.
PBE K2Na6TlAu, relaxed; formation energy = -0.063 eV/atom
1.0
8.412 -0.001 0.000
0.000 8.412 0.000
4.206 4.206 5.948
Na K Au Tl
6 2 1 1
Cartesian
8.413 8.412 2.889
6.370 2.042 0.000
2.043 6.370 0.000
4.206 4.206 3.060
2.043 2.043 0.000
6.370 6.369 0.000
8.413 4.206 2.974
4.207 8.412 2.974
0.000 0.000 0.000
4.206 4.206 0.000

***

6.
PBE Sr2ZnSb, relaxed; energy above the most stable polymorph in this dataset = 41 kJ/mol of formula units; raw formation energy = -2.2 eV per formula unit
1.0
-3.841 -0.893 -1.692
-1.558 -0.173 3.628
-3.127 7.208 3.296
Sr Sb Zn
2 1 1
Cartesian
-2.353 3.574 3.456
-3.117 7.152 3.302
-5.434 4.830 4.347
-3.092 1.313 0.885

***

7.
PBE Tb2Pr3Sm4, relaxed; formation energy = 0.068 eV/atom; energy above the most stable polymorph in this dataset = 47 kJ/mol of formula units
1.0
-1.467 -1.448 -3.003
3.173 -1.262 1.267
-13.284 -18.114 15.226
Sm Tb Pr
4 2 3
Cartesian
-7.201 -9.820 8.254
-5.702 -9.269 5.047
-2.759 -5.257 1.674
-10.184 -13.886 11.672
-1.106 -3.002 -0.221
-11.499 -17.174 11.692
-8.611 -13.236 8.381
-4.263 -5.813 4.886
-13.067 -17.818 14.978

***

8.
PBE NaVBr4, relaxed; energy above the most stable polymorph in this dataset = 0 kJ/mol of formula units; raw formation energy = -6.4 eV per formula unit
1.0
-0.663 -3.762 -0.543
4.677 -0.116 -4.909
4.858 -1.603 5.173
V Br Na
1 4 1
Cartesian
2.098 -2.682 2.315
6.723 -1.096 -0.616
4.527 -3.170 2.729
4.345 -2.310 -3.007
2.812 -0.623 0.880
0.000 0.000 0.000

***

9.
PBE LiTaTe2, relaxed; raw formation energy = 0.4 eV per formula unit
1.0
-0.101 1.107 2.922
-0.981 -2.968 0.042
9.921 -3.257 1.578
Te Li Ta
2 1 1
Cartesian
2.546 -1.944 1.973
9.285 -3.048 1.477
5.114 -1.679 0.813
6.776 -3.332 2.646

***

10.
PBE CaTeN2F, relaxed; energy above the most stable polymorph in this dataset = 680 kJ/mol of formula units; raw formation energy = 5.9 eV per formula unit
1.0
-4.553 0.525 0.775
-0.802 -6.308 -0.440
0.731 -0.412 4.572
Ca N F Te
1 2 1 1
Cartesian
0.000 0.000 0.000
-2.277 0.262 0.387
0.365 -0.206 2.286
-2.312 -3.097 2.453
-0.401 -3.154 -0.220

***

11.
PBE SrSn12Au4, relaxed; formation energy = -0.200 eV/atom
1.0
8.431 0.000 0.000
-2.810 7.949 0.000
-2.810 -3.974 6.884
Sn Au Sr
12 4 1
Cartesian
0.022 -1.813 5.820
-1.716 5.332 2.404
-2.789 1.972 5.544
4.526 -1.357 4.479
5.599 2.003 1.340
1.094 3.391 1.064
2.789 5.787 1.064
3.904 3.201 3.415
2.832 -0.159 2.404
-1.094 0.774 3.469
-0.022 4.134 4.479
1.716 0.584 5.820
4.215 0.000 0.000
-1.405 -1.987 3.442
-1.405 3.974 0.000
1.405 1.987 3.442
0.000 0.000 0.000

***

12.
PBE BiAu5, relaxed; formation energy = 0.043 eV/atom
1.0
4.413 0.000 0.000
0.000 4.565 0.000
0.000 -2.283 5.971
Au Bi
5 1
Cartesian
0.000 2.283 2.017
2.207 2.283 3.873
2.207 0.000 2.097
0.000 0.000 3.954
2.207 2.283 0.000
0.000 0.000 0.000